Entry 1:
Entry from the Alexandria database: an optimized crystal structure of SrMgOs (PBE-GGA).

Lattice parameters (Å, degrees): 4.9825 4.9825 4.9825 60.00 60.00 60.00
With the nearest neighbours (Å) after each atom.
Positions (direct):
Sr 0.7500 0.7500 0.7500  4 Mg 3.05, 4 Os 3.05
Mg 0.0000 0.0000 0.0000  4 Sr 3.05
Os 0.5000 0.5000 0.5000  4 Sr 3.05

Computed properties:
- Electronic total energy: -9.8 eV/f.u.

Entry 2:
Entry from the Alexandria database: an optimized crystal structure of SrMg2Os (PBE-GGA).

Lattice parameters (Å, degrees): 4.8277 4.8277 7.0044 84.55 84.55 36.11
With the nearest neighbours (Å) after each atom.
Positions (direct):
Sr 0.2386 0.2386 0.2919  2 Sr 2.99, 3 Os 3.21-3.25, 2 Mg 3.34
Mg 0.7573 0.7573 0.7159  3 Os 2.67-2.75, 3 Mg 2.80-2.96
Mg 0.0077 0.0077 0.9144  5 Mg 2.80-2.99, 2 Os 2.80
Os 0.4964 0.4964 0.5778  5 Mg 2.67-2.80

Computed properties:
- Electronic total energy: -14.3 eV/f.u.

Entry 3:
Entry from the Alexandria database: an optimized crystal structure of SrMg2Os (PBE-GGA).

Lattice parameters (Å, degrees): 4.4624 4.4627 4.4971 90.00 90.00 90.00
With the nearest neighbours (Å) after each atom.
Positions (direct):
Sr 0.0000 0.5000 0.5000  4 Os 3.16, 8 Mg 3.17
Os 0.5000 0.0000 0.5000  4 Sr 3.16, 8 Mg 3.17
Mg 0.5000 0.5000 0.0000  4 Mg 3.16, 4 Sr 3.17, 4 Os 3.17
Mg 0.0000 0.0000 0.0000  4 Mg 3.16, 4 Os 3.17, 4 Sr 3.17

Computed properties:
- Electronic total energy: -13.9 eV/f.u.

Entry 4:
Entry from the Alexandria database: an optimized crystal structure of SrMgOs2 (PBE-GGA).

Lattice parameters (Å, degrees): 4.7178 4.7178 4.7178 60.00 60.00 60.00
With the nearest neighbours (Å) after each atom.
Positions (direct):
Os 0.2500 0.2500 0.2500  4 Mg 2.89, 4 Os 2.89
Os 0.0000 0.0000 0.0000  4 Os 2.89, 4 Sr 2.89
Sr 0.7500 0.7500 0.7500  4 Mg 2.89, 4 Os 2.89
Mg 0.5000 0.5000 0.5000  4 Os 2.89, 4 Sr 2.89

Computed properties:
- Electronic total energy: -22.5 eV/f.u.

Entry 5:
Entry from the Alexandria database: an optimized crystal structure of SrMgOs (PBE-GGA).

Lattice parameters (Å, degrees): 4.7768 4.7768 4.7768 60.00 60.00 60.00
With the nearest neighbours (Å) after each atom.
Positions (direct):
Sr 0.0000 0.0000 0.0000  4 Os 2.93
Os 0.7500 0.7500 0.7500  4 Mg 2.93, 4 Sr 2.93
Mg 0.5000 0.5000 0.5000  4 Os 2.93

Computed properties:
- Electronic total energy: -12.1 eV/f.u.

Entry 6:
Entry from the Alexandria database: an optimized crystal structure of SrMg2Os (PBE-GGA).

Lattice parameters (Å, degrees): 4.9772 4.9772 4.9772 119.79 119.79 90.36
With the nearest neighbours (Å) after each atom.
Positions (direct):
Mg 0.0000 0.0000 0.0000  4 Mg 3.05, 4 Sr 3.05
Mg 0.2500 0.7500 0.5000  4 Os 3.05, 4 Mg 3.05
Sr 0.7500 0.2500 0.5000  4 Mg 3.05, 4 Os 3.05
Os 0.5000 0.5000 0.0000  4 Sr 3.05, 4 Mg 3.05

Computed properties:
- Electronic total energy: -14.2 eV/f.u.

Entry 7:
Entry from the Alexandria database: an optimized crystal structure of SrMgOs2 (PBE-GGA).

Lattice parameters (Å, degrees): 6.0948 6.0948 6.0948 151.83 130.07 58.32
With the nearest neighbours (Å) after each atom.
Positions (direct):
Mg 0.7856 0.2856 0.5000  6 Os 2.90-3.08, 2 Mg 2.97
Os 0.0197 0.0197 0.0000  2 Os 2.52
Os 0.2105 0.7105 0.5000  2 Os 2.52
Sr 0.4843 0.4843 0.0000  2 Sr 2.97, 6 Os 2.99-3.27

Computed properties:
- Electronic total energy: -23.3 eV/f.u.

Entry 8:
Entry from the Alexandria database: an optimized crystal structure of SrMgOs2 (PBE-GGA).

Lattice parameters (Å, degrees): 4.3855 4.3855 6.1588 69.12 69.12 60.00
With the nearest neighbours (Å) after each atom.
Positions (direct):
Sr 0.4900 0.4900 0.5305  4 Mg 3.28-3.44, 7 Os 3.36-3.38
Os 0.6903 0.6903 0.9292  3 Os 2.53, 3 Mg 2.74
Os 0.0250 0.0250 0.9248  3 Os 2.53, 3 Mg 2.75
Mg 0.2948 0.2948 0.1155  6 Os 2.74-2.75

Computed properties:
- Electronic total energy: -25.0 eV/f.u.

Entry 9:
Entry from the Alexandria database: an optimized crystal structure of SrMg2Os (PBE-GGA).

Lattice parameters (Å, degrees): 10.4477 10.4477 10.4477 17.32 17.32 17.32
With the nearest neighbours (Å) after each atom.
Positions (direct):
Mg 0.5166 0.5166 0.5166  3 Os 2.75
Mg 0.9834 0.9834 0.9834  3 Os 2.75
Os 0.2500 0.2500 0.2500  6 Mg 2.75
Sr 0.7500 0.7500 0.7500  6 Sr 3.15

Computed properties:
- Electronic total energy: -13.8 eV/f.u.

Entry 10:
Entry from the Alexandria database: an optimized crystal structure of SrMg2Os (PBE-GGA).

Lattice parameters (Å, degrees): 5.6002 6.1181 2.9611 78.55 84.54 115.76
With the nearest neighbours (Å) after each atom.
Positions (direct):
Mg 0.5000 0.0000 0.5000  6 Mg 2.96-3.29, 2 Sr 3.12, 2 Os 3.12
Mg 0.0000 0.0000 0.0000  6 Mg 2.96-3.29, 2 Os 3.12, 2 Sr 3.12
Os 0.0000 0.5000 0.5000  2 Os 2.96, 4 Sr 3.04-3.29, 4 Mg 3.12
Sr 0.5000 0.5000 0.0000  2 Sr 2.96, 4 Os 3.04-3.29, 4 Mg 3.12

Computed properties:
- Electronic total energy: -13.5 eV/f.u.

Entry 11:
Entry from the Alexandria database: an optimized crystal structure of SrMg2Os (PBE-GGA).

Lattice parameters (Å, degrees): 4.6906 4.6906 10.1199 76.60 76.60 90.00
With the nearest neighbours (Å) after each atom.
Positions (direct):
Sr 0.5000 0.5000 0.0000  4 Mg 3.15, 4 Os 3.32
Sr 0.2500 0.7500 0.5000  4 Mg 3.15, 4 Os 3.32
Os 0.7500 0.2500 0.5000  4 Mg 2.74
Os 0.0000 0.0000 0.0000  4 Mg 2.74
Mg 0.0158 0.6250 0.2500  2 Mg 2.69, 2 Os 2.74
Mg 0.3750 0.2658 0.7500  2 Mg 2.69, 2 Os 2.74
Mg 0.8750 0.9842 0.7500  2 Mg 2.69, 2 Os 2.74
Mg 0.7342 0.1250 0.2500  2 Mg 2.69, 2 Os 2.74

Computed properties:
- Electronic total energy: -13.3 eV/f.u.

Entry 12:
Entry from the Alexandria database: an optimized crystal structure of SrMgOs2 (PBE-GGA).

Lattice parameters (Å, degrees): 3.1199 4.8185 4.8697 90.00 90.00 90.00
With the nearest neighbours (Å) after each atom.
Positions (direct):
Os 0.5000 0.5000 0.0000  6 Os 2.87-3.12, 4 Mg 2.89
Os 0.0000 0.0000 0.0000  6 Os 2.87-3.12, 4 Sr 2.89
Sr 0.5000 0.0000 0.5000  4 Mg 2.87, 4 Os 2.89, 2 Sr 3.12
Mg 0.0000 0.5000 0.5000  4 Sr 2.87, 4 Os 2.89, 2 Mg 3.12

Computed properties:
- Electronic total energy: -22.2 eV/f.u.

Entry 13:
Entry from the Alexandria database: an optimized crystal structure of SrMgOs2 (PBE-GGA).

Lattice parameters (Å, degrees): 5.3449 5.6379 2.8341 77.92 84.90 116.85
With the nearest neighbours (Å) after each atom.
Positions (direct):
Mg 0.5000 0.5000 0.0000  2 Mg 2.83, 4 Os 2.88, 4 Sr 2.91-3.13
Os 0.0000 0.0000 0.0000  6 Os 2.83-3.13, 2 Mg 2.88, 2 Sr 2.88
Os 0.5000 0.0000 0.5000  6 Os 2.83-3.13, 2 Sr 2.88, 2 Mg 2.88
Sr 0.0000 0.5000 0.5000  2 Sr 2.83, 4 Os 2.88, 4 Mg 2.91-3.13

Computed properties:
- Electronic total energy: -22.2 eV/f.u.

Entry 14:
Entry from the Alexandria database: an optimized crystal structure of SrMg2Os (PBE-GGA).

Lattice parameters (Å, degrees): 3.4915 3.4915 7.3842 90.00 90.00 89.98
With the nearest neighbours (Å) after each atom.
Positions (direct):
Mg 0.0000 0.0000 0.4271  1 Mg 2.62, 4 Os 2.79
Mg 0.0000 0.0000 0.0729  1 Mg 2.62, 4 Os 2.79
Sr 0.5000 0.5000 0.7500  8 Mg 3.43, 4 Sr 3.49, 2 Os 3.69
Os 0.5000 0.5000 0.2500  8 Mg 2.79

Computed properties:
- Electronic total energy: -14.8 eV/f.u.

Entry 15:
Entry from the Alexandria database: an optimized crystal structure of SrMgOs2 (PBE-GGA).

Lattice parameters (Å, degrees): 5.3827 5.3827 5.3827 135.42 135.42 64.88
With the nearest neighbours (Å) after each atom.
Positions (direct):
Os 0.0000 0.0000 0.0000  4 Os 2.89, 4 Mg 3.05, 4 Sr 3.05
Os 0.5000 0.5000 0.0000  4 Os 2.89, 4 Mg 3.05, 4 Sr 3.05
Sr 0.2500 0.7500 0.5000  4 Mg 2.89, 8 Os 3.05
Mg 0.7500 0.2500 0.5000  4 Sr 2.89, 8 Os 3.05

Computed properties:
- Electronic total energy: -21.9 eV/f.u.

Entry 16:
Entry from the Alexandria database: an optimized crystal structure of SrMg2Os (PBE-GGA).

Lattice parameters (Å, degrees): 7.8392 7.8392 7.8392 156.85 146.35 41.24
With the nearest neighbours (Å) after each atom.
Positions (direct):
Os 0.5057 0.5057 0.0000  6 Mg 2.69-2.76
Mg 0.0108 0.0108 0.0000  4 Os 2.76
Mg 0.6546 0.1546 0.5000  2 Os 2.69
Sr 0.3289 0.8289 0.5000  2 Os 3.03, 2 Sr 3.15

Computed properties:
- Electronic total energy: -14.6 eV/f.u.

Entry 17:
Entry from the Alexandria database: an optimized crystal structure of SrMg2Os (PBE-GGA).

Lattice parameters (Å, degrees): 5.4182 5.4182 3.0918 90.00 90.00 111.04
With the nearest neighbours (Å) after each atom.
Positions (direct):
Os 0.5000 0.0000 0.5000  2 Sr 3.07, 2 Os 3.09, 8 Mg 3.12
Mg 0.0000 0.0000 0.0000  4 Mg 3.07-3.09, 4 Os 3.12, 4 Sr 3.12
Mg 0.5000 0.5000 0.0000  4 Mg 3.07-3.09, 4 Sr 3.12, 4 Os 3.12
Sr 0.0000 0.5000 0.5000  2 Os 3.07, 2 Sr 3.09, 8 Mg 3.12

Computed properties:
- Electronic total energy: -13.4 eV/f.u.

Entry 18:
Entry from the Alexandria database: an optimized crystal structure of SrMgOs (PBE-GGA).

Lattice parameters (Å, degrees): 5.9972 5.9972 3.5643 72.71 72.71 34.58
With the nearest neighbours (Å) after each atom.
Positions (direct):
Os 0.6324 0.6324 0.3676  4 Mg 2.69
Sr 0.3214 0.3214 0.6786  1 Mg 3.00, 4 Os 3.25
Mg 0.0462 0.0462 0.9538  4 Os 2.69, 1 Sr 3.00

Computed properties:
- Electronic total energy: -13.0 eV/f.u.

Entry 19:
Entry from the Alexandria database: an optimized crystal structure of SrMg3Os (PBE-GGA).

Lattice parameters (Å, degrees): 5.9661 5.9661 5.9661 90.00 90.00 90.00
With the nearest neighbours (Å) after each atom.
Positions (direct):
Mg 0.0000 0.5000 0.0000  2 Sr 2.98
Mg 0.0000 0.0000 0.5000  2 Sr 2.98
Mg 0.5000 0.0000 0.0000  2 Sr 2.98
Os 0.5000 0.5000 0.5000  12 Mg 4.22
Sr 0.0000 0.0000 0.0000  6 Mg 2.98

Computed properties:
- Relative energy among the computed polymorphs: 2050 meV/atom

Entry 20:
Entry from the Alexandria database: an optimized crystal structure of SrMgOs (PBE-GGA).

Lattice parameters (Å, degrees): 3.2590 3.2590 7.4934 90.00 90.00 120.00
With the nearest neighbours (Å) after each atom.
Positions (direct):
Sr 0.6667 0.3333 0.6238  3 Os 2.96, 6 Sr 3.26
Os 0.3333 0.6667 0.3183  3 Mg 2.71, 3 Sr 2.96
Mg 0.0000 0.0000 0.0579  3 Os 2.71

Computed properties:
- Electronic total energy: -12.1 eV/f.u.